A plane-wave DFT calculation with PBE was carried out for a relaxed AlRuRh3 crystal.

abc: 4.6569 4.6569 4.6569
angles: 90.00 90.00 90.00
Closest atoms and distances in Å follow each position.
Fractional coordinates of all 5 atoms:
Al 0.0000 0.0000 0.0000  12 Rh 3.29
Ru 0.5000 0.5000 0.5000  6 Rh 2.33
Rh 0.0000 0.5000 0.5000  2 Ru 2.33
Rh 0.5000 0.0000 0.5000  2 Ru 2.33
Rh 0.5000 0.5000 0.0000  2 Ru 2.33

Results
- Space-group type: No. 221
- E above lowest polymorph: 1.51 eV per formula unit
- N(E_F): 4.89 states/eV per cell



A plane-wave DFT calculation with PBE was carried out for a relaxed TaTl2Sb2Se6 crystal.

abc: 7.0713 7.0713 8.0244
angles: 98.87 98.87 119.55
Closest atoms and distances in Å follow each position.
Fractional coordinates of all 11 atoms:
Ta 0.0000 0.0000 0.0000  6 Se 2.63
Tl 0.1688 0.8312 0.5000  6 Se 3.24-3.42
Tl 0.8312 0.1688 0.5000  6 Se 3.24-3.42
Sb 0.3306 0.6694 0.0000  6 Se 2.85-2.91
Sb 0.6694 0.3306 0.0000  6 Se 2.85-2.91
Se 0.0676 0.3744 0.1953  1 Ta 2.63, 2 Sb 2.85-2.89
Se 0.2365 0.2365 0.8039  1 Ta 2.63, 2 Sb 2.91
Se 0.3744 0.0676 0.1953  1 Ta 2.63, 2 Sb 2.85-2.89
Se 0.6256 0.9324 0.8047  1 Ta 2.63, 2 Sb 2.85-2.89
Se 0.7635 0.7635 0.1961  1 Ta 2.63, 2 Sb 2.91
Se 0.9324 0.6256 0.8047  1 Ta 2.63, 2 Sb 2.85-2.89

Results
- Space-group type: No. 12
- Formation energy without anion corrections: -4.7 eV per formula unit
- N(E_F): 4.43 states/eV per cell



A plane-wave DFT calculation with PBE was carried out for a relaxed KCaPrIn crystal.

abc: 5.7583 5.7583 5.7583
angles: 60.00 60.00 60.00
Closest atoms and distances in Å follow each position.
Fractional coordinates of all 4 atoms:
K 0.0000 0.0000 0.0000  4 Pr 3.53, 4 Ca 3.53
Ca 0.2500 0.2500 0.2500  4 In 3.53, 4 K 3.53
Pr 0.7500 0.7500 0.7500  4 In 3.53, 4 K 3.53
In 0.5000 0.5000 0.5000  4 Pr 3.53, 4 Ca 3.53

Results
- Space-group type: No. 216
- Raw total energy: -2.643 eV per atom
- N(E_F): 3.72 states/eV per cell



A plane-wave DFT calculation with PBE was carried out for a relaxed SmFeCo crystal.

abc: 5.1540 5.1540 5.1540
angles: 120.22 117.33 92.15
Closest atoms and distances in Å follow each position.
Fractional coordinates of all 6 atoms:
Sm 0.3761 0.1261 0.2500  6 Fe 2.98-3.10, 6 Co 2.99-3.03, 4 Sm 3.12-3.23
Sm 0.6239 0.8739 0.7500  6 Fe 2.98-3.10, 6 Co 2.99-3.03, 4 Sm 3.12-3.23
Fe 0.0000 0.0000 0.5000  2 Fe 2.57, 4 Co 2.58
Fe 0.0000 0.5000 0.0000  2 Fe 2.57, 4 Co 2.58
Co 0.0000 0.5000 0.5000  4 Fe 2.58, 2 Co 2.68
Co 0.5000 0.5000 0.0000  4 Fe 2.58, 2 Co 2.68

Results
- Space-group type: No. 74
- Raw total energy: -6.818 eV per atom
- N(E_F): 5.48 states/eV per cell



A plane-wave DFT calculation with PBE was carried out for a relaxed Ba2SrTl5 crystal.

abc: 9.2021 9.2021 9.2021
angles: 142.97 142.97 53.37
Closest atoms and distances in Å follow each position.
Fractional coordinates of all 8 atoms:
Ba 0.2375 0.2375 0.0000  9 Tl 3.59-3.91
Ba 0.7625 0.7625 0.0000  9 Tl 3.59-3.91
Sr 0.5000 0.5000 0.0000  8 Tl 3.44
Tl 0.0000 0.0000 0.0000  8 Tl 3.44
Tl 0.1105 0.6105 0.5000  3 Tl 3.44-3.64, 2 Sr 3.44, 4 Ba 3.59-3.84
Tl 0.3895 0.8895 0.5000  3 Tl 3.44-3.64, 2 Sr 3.44, 4 Ba 3.59-3.84
Tl 0.6105 0.1105 0.5000  3 Tl 3.44-3.64, 2 Sr 3.44, 4 Ba 3.59-3.84
Tl 0.8895 0.3895 0.5000  3 Tl 3.44-3.64, 2 Sr 3.44, 4 Ba 3.59-3.84

Results
- Space-group type: No. 139
- Raw total energy: -2.511 eV per atom
- N(E_F): 3.41 states/eV per cell



A plane-wave DFT calculation with PBE was carried out for a relaxed Ca2ReRh crystal.

abc: 5.6895 5.6895 5.6895
angles: 148.16 126.82 63.33
Closest atoms and distances in Å follow each position.
Fractional coordinates of all 4 atoms:
Ca 0.2319 0.2319 0.0000  2 Rh 2.73, 4 Ca 3.01, 2 Re 3.03
Ca 0.7681 0.7681 0.0000  2 Rh 2.73, 4 Ca 3.01, 2 Re 3.03
Re 0.5000 0.0000 0.5000  4 Rh 2.99, 4 Ca 3.03, 2 Re 3.12
Rh 0.0000 0.5000 0.5000  4 Ca 2.73, 4 Re 2.99

Results
- Space-group type: No. 71
- Raw total energy: -5.381 eV per atom
- N(E_F): 3.34 states/eV per cell



A plane-wave DFT calculation with PBE was carried out for a relaxed NbVB4 crystal.

abc: 5.8609 11.3566 3.2028
angles: 90.00 90.00 90.00
Closest atoms and distances in Å follow each position.
Fractional coordinates of all 24 atoms:
Nb 0.1299 0.1494 0.0000  14 B 2.46-2.65
Nb 0.3701 0.6494 0.0000  14 B 2.46-2.65
Nb 0.6299 0.3506 0.0000  14 B 2.46-2.65
Nb 0.8701 0.8506 0.0000  14 B 2.46-2.65
V 0.1355 0.4120 0.0000  10 B 2.19-2.23
V 0.3645 0.9120 0.0000  10 B 2.19-2.23
V 0.6355 0.0880 0.0000  10 B 2.19-2.23
V 0.8645 0.5880 0.0000  10 B 2.19-2.23
B 0.0215 0.6960 0.5000  3 B 1.67-1.87
B 0.1192 0.5489 0.5000  3 B 1.75-1.78
B 0.1276 0.9672 0.5000  3 B 1.67-1.84
B 0.2029 0.8099 0.5000  3 B 1.67-1.87
B 0.2971 0.3099 0.5000  3 B 1.67-1.87
B 0.3724 0.4672 0.5000  3 B 1.67-1.84
B 0.3808 0.0489 0.5000  3 B 1.75-1.78
B 0.4785 0.1960 0.5000  3 B 1.67-1.87
B 0.5215 0.8040 0.5000  3 B 1.67-1.87
B 0.6192 0.9511 0.5000  3 B 1.75-1.78
B 0.6276 0.5328 0.5000  3 B 1.67-1.84
B 0.7029 0.6901 0.5000  3 B 1.67-1.87
B 0.7971 0.1901 0.5000  3 B 1.67-1.87
B 0.8724 0.0328 0.5000  3 B 1.67-1.84
B 0.8808 0.4511 0.5000  3 B 1.75-1.78
B 0.9785 0.3040 0.5000  3 B 1.67-1.87

Results
- Space-group type: No. 55
- Raw total energy: -8.183 eV per atom
- N(E_F): 7.90 states/eV per cell



A plane-wave DFT calculation with PBE was carried out for a relaxed ZnSnBi2Cl crystal.

abc: 5.5295 5.5295 5.4611
angles: 90.00 90.00 90.00
Closest atoms and distances in Å follow each position.
Fractional coordinates of all 5 atoms:
Zn 0.0000 0.0000 0.0000  8 Bi 3.89, 4 Sn 3.91
Sn 0.5000 0.5000 0.0000  2 Cl 2.73
Bi 0.0000 0.5000 0.5000  2 Cl 2.76
Bi 0.5000 0.0000 0.5000  2 Cl 2.76
Cl 0.5000 0.5000 0.5000  2 Sn 2.73, 4 Bi 2.76

Results
- Space-group type: No. 123
- Formation energy without anion corrections: 3.2 eV per formula unit
- N(E_F): 3.79 states/eV per cell



A plane-wave DFT calculation with PBE was carried out for a relaxed NaLi2SmBi2 crystal.

abc: 4.7914 4.7914 7.6059
angles: 90.00 90.00 120.00
Closest atoms and distances in Å follow each position.
Fractional coordinates of all 6 atoms:
Na 0.0000 0.0000 0.0000  6 Li 3.05, 6 Bi 3.39
Li 0.3333 0.6667 0.1675  3 Bi 2.85, 3 Na 3.05
Li 0.6667 0.3333 0.8325  3 Bi 2.85, 3 Na 3.05
Sm 0.0000 0.0000 0.5000  6 Bi 3.32
Bi 0.3333 0.6667 0.7413  3 Li 2.85
Bi 0.6667 0.3333 0.2587  3 Li 2.85

Results
- Space-group type: No. 164
- Raw total energy: -3.576 eV per atom
- N(E_F): 0.60 states/eV per cell



A plane-wave DFT calculation with PBE was carried out for a relaxed LaSc2 crystal.

abc: 6.3740 6.3740 10.5188
angles: 90.00 90.00 120.00
Closest atoms and distances in Å follow each position.
Fractional coordinates of all 12 atoms:
La 0.3333 0.6667 0.0590  12 Sc 3.73-3.77, 4 La 3.88-4.02
La 0.3333 0.6667 0.4410  12 Sc 3.73-3.77, 4 La 3.88-4.02
La 0.6667 0.3333 0.5590  12 Sc 3.73-3.77, 4 La 3.88-4.02
La 0.6667 0.3333 0.9410  12 Sc 3.73-3.77, 4 La 3.88-4.02
Sc 0.0000 0.0000 0.0000  6 Sc 3.20
Sc 0.0000 0.0000 0.5000  6 Sc 3.20
Sc 0.1652 0.3304 0.7500  6 Sc 3.16-3.22
Sc 0.1652 0.8348 0.7500  6 Sc 3.16-3.22
Sc 0.3304 0.1652 0.2500  6 Sc 3.16-3.22
Sc 0.6696 0.8348 0.7500  6 Sc 3.16-3.22
Sc 0.8348 0.1652 0.2500  6 Sc 3.16-3.22
Sc 0.8348 0.6696 0.2500  6 Sc 3.16-3.22

Results
- Space-group type: No. 194
- E above lowest polymorph: 0.52 eV per formula unit
- N(E_F): 20.43 states/eV per cell



A plane-wave DFT calculation with PBE was carried out for a relaxed Ni3AgCl crystal.

abc: 4.1577 4.1577 4.1577
angles: 90.00 90.00 90.00
Closest atoms and distances in Å follow each position.
Fractional coordinates of all 5 atoms:
Ni 0.0000 0.0000 0.5000  2 Cl 2.08
Ni 0.0000 0.5000 0.0000  2 Cl 2.08
Ni 0.5000 0.0000 0.0000  2 Cl 2.08
Ag 0.5000 0.5000 0.5000  12 Ni 2.94
Cl 0.0000 0.0000 0.0000  6 Ni 2.08

Results
- Space-group type: No. 221
- Formation energy without anion corrections: 2.4 eV per formula unit
- E above lowest polymorph: 0.00 eV per formula unit
- N(E_F): 0.13 states/eV per cell



A plane-wave DFT calculation with PBE was carried out for a relaxed LiNiN crystal.

abc: 4.8920 4.3209 4.2143
angles: 69.93 56.06 54.01
Closest atoms and distances in Å follow each position.
Fractional coordinates of all 6 atoms:
Li 0.2082 0.7918 0.2082  4 N 2.11-2.28
Li 0.7918 0.2082 0.7918  4 N 2.11-2.28
Ni 0.0000 0.5000 0.0000  2 N 1.84
Ni 0.5000 0.0000 0.5000  2 N 1.84
N 0.3571 0.6429 0.6429  1 N 1.43
N 0.6429 0.3571 0.3571  1 N 1.43

Results
- Space-group type: No. 69
- Formation energy without anion corrections: -0.4 eV per formula unit
- N(E_F): 2.26 states/eV per cell



A plane-wave DFT calculation with PBE was carried out for a relaxed Sr2YTa crystal.

abc: 3.4635 3.4635 11.4299
angles: 90.00 90.00 90.10
Closest atoms and distances in Å follow each position.
Fractional coordinates of all 4 atoms:
Sr 0.0000 0.0000 0.0000  4 Sr 3.46, 4 Ta 3.51
Sr 0.5000 0.5000 0.3161  4 Sr 3.46
Y 0.0000 0.0000 0.6071  4 Ta 3.14-3.15, 4 Y 3.46
Ta 0.5000 0.5000 0.7799  4 Y 3.14-3.15, 4 Ta 3.46, 4 Sr 3.51

Results
- Space-group type: No. 35
- E above lowest polymorph: 0.00 eV per formula unit
- N(E_F): 5.57 states/eV per cell



A plane-wave DFT calculation with PBE was carried out for a relaxed BeIrAu2 crystal.

abc: 4.7956 4.7956 4.7956
angles: 131.20 131.20 71.50
Closest atoms and distances in Å follow each position.
Fractional coordinates of all 4 atoms:
Be 0.0000 0.0000 0.0000  8 Au 2.78, 4 Ir 2.80
Ir 0.5000 0.5000 0.0000  8 Au 2.78, 4 Be 2.80
Au 0.2500 0.7500 0.5000  4 Ir 2.78, 4 Be 2.78, 4 Au 2.80
Au 0.7500 0.2500 0.5000  4 Ir 2.78, 4 Be 2.78, 4 Au 2.80

Results
- Space-group type: No. 139
- Raw total energy: -4.492 eV per atom
- N(E_F): 3.00 states/eV per cell



A plane-wave DFT calculation with PBE was carried out for a relaxed CrCoGePdS crystal.

abc: 3.2735 3.6359 6.1000
angles: 90.00 90.00 90.00
Closest atoms and distances in Å follow each position.
Fractional coordinates of all 5 atoms:
Cr 0.0000 0.0000 0.0000  4 S 2.52, 2 Co 2.70, 1 Ge 2.71
Co 0.0000 0.5000 0.6732  2 S 2.14, 2 Ge 2.29
Ge 0.0000 0.0000 0.4439  2 Co 2.29
Pd 0.5000 0.5000 0.2971  1 S 2.43, 4 Ge 2.60
S 0.5000 0.5000 0.8991  2 Co 2.14

Results
- Space-group type: No. 25
- Formation energy without anion corrections: -1.3 eV per formula unit
- E above lowest polymorph: 0.16 eV per formula unit
- N(E_F): 1.98 states/eV per cell



A plane-wave DFT calculation with PBE was carried out for a relaxed LaYMo2 crystal.

abc: 2.9123 2.9123 10.2969
angles: 90.00 90.00 90.00
Closest atoms and distances in Å follow each position.
Fractional coordinates of all 4 atoms:
La 0.0000 0.0000 0.0000  4 La 2.91
Y 0.0000 0.0000 0.5000  4 Y 2.91, 8 Mo 3.21
Mo 0.5000 0.5000 0.2608  4 Mo 2.91, 4 Y 3.21
Mo 0.5000 0.5000 0.7392  4 Mo 2.91, 4 Y 3.21

Results
- Space-group type: No. 123
- E above lowest polymorph: 2.06 eV per formula unit
- N(E_F): 4.75 states/eV per cell



A plane-wave DFT calculation with PBE was carried out for a relaxed CaPrNdSc crystal.

abc: 5.7331 5.7331 5.7331
angles: 60.00 60.00 60.00
Closest atoms and distances in Å follow each position.
Fractional coordinates of all 4 atoms:
Ca 0.0000 0.0000 0.0000  4 Pr 3.51, 4 Nd 3.51
Pr 0.7500 0.7500 0.7500  4 Sc 3.51, 4 Ca 3.51
Nd 0.2500 0.2500 0.2500  4 Ca 3.51, 4 Sc 3.51
Sc 0.5000 0.5000 0.5000  4 Pr 3.51, 4 Nd 3.51

Results
- Space-group type: No. 216
- Raw total energy: -4.345 eV per atom
- N(E_F): 4.86 states/eV per cell



A plane-wave DFT calculation with PBE was carried out for a relaxed SmTiAlZn crystal.

abc: 4.8416 4.8416 4.8416
angles: 60.00 60.00 60.00
Closest atoms and distances in Å follow each position.
Fractional coordinates of all 4 atoms:
Sm 0.0000 0.0000 0.0000  4 Al 2.96, 4 Zn 2.96
Ti 0.5000 0.5000 0.5000  4 Al 2.96, 4 Zn 2.96
Al 0.7500 0.7500 0.7500  4 Ti 2.96, 4 Sm 2.96
Zn 0.2500 0.2500 0.2500  4 Sm 2.96, 4 Ti 2.96

Results
- Space-group type: No. 216
- Raw total energy: -4.583 eV per atom
- N(E_F): 1.68 states/eV per cell



A plane-wave DFT calculation with PBE was carried out for a relaxed CaPd crystal.

abc: 10.3023 7.5078 7.4821
angles: 86.83 46.69 46.48
Closest atoms and distances in Å follow each position.
Fractional coordinates of all 8 atoms:
Ca 0.0067 0.0067 0.7433  6 Pd 2.90-2.99
Ca 0.2567 0.2567 0.9933  6 Pd 2.90-2.99
Ca 0.7433 0.7433 0.0067  6 Pd 2.90-2.99
Ca 0.9933 0.9933 0.2567  6 Pd 2.90-2.99
Pd 0.2737 0.4763 0.2737  6 Ca 2.90-2.99, 1 Pd 2.95
Pd 0.4763 0.2737 0.4763  6 Ca 2.90-2.99, 1 Pd 2.95
Pd 0.5237 0.7263 0.5237  6 Ca 2.90-2.99, 1 Pd 2.95
Pd 0.7263 0.5237 0.7263  6 Ca 2.90-2.99, 1 Pd 2.95

Results
- Space-group type: No. 70
- Raw total energy: -4.164 eV per atom
- N(E_F): 3.32 states/eV per cell



A plane-wave DFT calculation with PBE was carried out for a relaxed Na2HgSbCl6 crystal.

abc: 7.7464 7.7464 7.7464
angles: 54.83 54.83 54.83
Closest atoms and distances in Å follow each position.
Fractional coordinates of all 10 atoms:
Na 0.0000 0.0000 0.0000  6 Cl 2.85-2.90
Na 0.4868 0.4868 0.4868  6 Cl 2.85-3.00
Hg 0.1902 0.1902 0.1902  6 Cl 2.97-3.06
Sb 0.6820 0.6820 0.6820  6 Cl 2.65-2.70
Cl 0.0627 0.4249 0.7777  1 Sb 2.70, 2 Na 2.85-2.90
Cl 0.3037 0.8832 0.6057  1 Sb 2.65, 1 Na 2.85, 1 Hg 2.97
Cl 0.4249 0.7777 0.0627  1 Sb 2.70, 2 Na 2.85-2.90
Cl 0.6057 0.3037 0.8832  1 Sb 2.65, 1 Na 2.85, 1 Hg 2.97
Cl 0.7777 0.0627 0.4249  1 Sb 2.70, 2 Na 2.85-2.90
Cl 0.8832 0.6057 0.3037  1 Sb 2.65, 1 Na 2.85, 1 Hg 2.97

Results
- Space-group type: No. 146
- Formation energy without anion corrections: -10.9 eV per formula unit
- N(E_F): 4.90 states/eV per cell



A plane-wave DFT calculation with PBE was carried out for a relaxed SbTeAu crystal.

abc: 6.8714 6.8714 6.8714
angles: 62.98 62.98 62.98
Closest atoms and distances in Å follow each position.
Fractional coordinates of all 9 atoms:
Sb 0.0171 0.7090 0.2739  3 Au 2.82-3.07, 1 Te 3.11
Sb 0.2739 0.0171 0.7090  3 Au 2.82-3.07, 1 Te 3.11
Sb 0.7090 0.2739 0.0171  3 Au 2.82-3.07, 1 Te 3.11
Te 0.1746 0.4506 0.8211  3 Au 2.79-2.86, 1 Sb 3.11
Te 0.4506 0.8211 0.1746  3 Au 2.79-2.86, 1 Sb 3.11
Te 0.8211 0.1746 0.4506  3 Au 2.79-2.86, 1 Sb 3.11
Au 0.2550 0.2550 0.2550  3 Sb 2.82, 3 Te 2.86
Au 0.5758 0.5758 0.5758  3 Te 2.79, 1 Au 2.82, 3 Sb 3.07
Au 0.7471 0.7471 0.7471  1 Au 2.82, 3 Te 2.83, 3 Sb 2.99

Results
- Space-group type: No. 146
- Formation energy without anion corrections: 0.1 eV per formula unit
- N(E_F): 4.23 states/eV per cell



A plane-wave DFT calculation with PBE was carried out for a relaxed Li2AlS crystal.

abc: 4.6034 4.6034 4.6034
angles: 60.00 60.00 60.00
Closest atoms and distances in Å follow each position.
Fractional coordinates of all 4 atoms:
Li 0.2500 0.2500 0.2500  4 S 2.82, 4 Al 2.82
Li 0.7500 0.7500 0.7500  4 S 2.82, 4 Al 2.82
Al 0.0000 0.0000 0.0000  8 Li 2.82
S 0.5000 0.5000 0.5000  8 Li 2.82

Results
- Space-group type: No. 225
- Formation energy without anion corrections: -1.0 eV per formula unit
- E above lowest polymorph: 0.21 eV per formula unit
- N(E_F): 1.30 states/eV per cell